Density functional theory data (GGA-PBE) for a relaxed PaCuGe2 crystal.

Cell: 3.0739 3.0739 27.1892 Å, 90.00 90.00 120.00°
Space group R-3m (No. 166, hexagonal axes)
Inequivalent atoms, fractional coordinates:
Pa  0.0000  0.0000  0.0000 [3 per cell]
Cu  0.0000  0.0000  0.5000 [3 per cell]
Ge  0.0000  0.0000  0.2376 [6 per cell]

Results
Its energy is -5.69 eV/atom. Its volume is 222 Å³ per cell.